Entry 1:
Here is a geometry-optimized Nb2Fe2Se7 structure from Alexandria. Energies are from GGA-PBE.

a b c (Å): 6.511 6.717 6.717
angles (deg): 113.85 91.55 91.55
Atoms (fractional coordinates):
1 Nb 0.500 0.642 0.358
2 Nb 0.500 0.358 0.642
3 Se 0.000 0.000 0.000
4 Se 0.716 0.032 0.430
5 Se 0.284 0.570 0.968
6 Se 0.716 0.430 0.032
7 Se 0.785 0.611 0.611
8 Se 0.215 0.389 0.389
9 Se 0.284 0.968 0.570
10 Fe 0.166 0.733 0.733
11 Fe 0.834 0.267 0.267

Total magnetic moment   0.563 μB per atom
Raw formation energy   -0.33 eV/atom
Crystal system   monoclinic



Entry 2:
Here is a geometry-optimized Nb3FeSe10 structure from Alexandria. Energies are from GGA-PBE.

a b c (Å): 3.532 9.984 10.171
angles (deg): 68.33 90.00 90.00
Atoms (fractional coordinates):
1 Fe 0.000 0.540 0.103
2 Nb 0.500 0.461 0.917
3 Nb 0.500 0.705 0.365
4 Nb 0.000 0.293 0.626
5 Se 0.000 0.661 0.849
6 Se 0.000 0.821 0.492
7 Se 0.500 0.178 0.497
8 Se 0.500 0.081 0.748
9 Se 0.000 0.511 0.355
10 Se 0.000 0.264 0.906
11 Se 0.000 0.917 0.242
12 Se 0.500 0.491 0.631
13 Se 0.500 0.715 0.094
14 Se 0.500 0.360 0.175

Total magnetic moment   0.000 μB per atom
Raw formation energy   -0.63 eV/atom
Crystal system   monoclinic



Entry 3:
Here is a geometry-optimized NbFe3Se structure from Alexandria. Energies are from GGA-PBE.

a b c (Å): 4.310 4.310 4.310
angles (deg): 90.00 90.00 90.00
Atoms (fractional coordinates):
1 Nb 0.500 0.500 0.500
2 Fe 0.000 0.000 0.500
3 Fe 0.500 0.000 0.000
4 Fe 0.000 0.500 0.000
5 Se 0.000 0.000 0.000

Total magnetic moment   0.844 μB per atom
Raw formation energy   0.75 eV/atom
Crystal system   cubic



Entry 4:
Here is a geometry-optimized Nb2FeSe5 structure from Alexandria. Energies are from GGA-PBE.

a b c (Å): 5.017 6.801 11.429
angles (deg): 90.00 90.00 111.64
Atoms (fractional coordinates):
1 Se 0.266 0.532 0.750
2 Se 0.954 0.909 0.881
3 Se 0.046 0.091 0.119
4 Se 0.337 0.674 0.103
5 Se 0.337 0.674 0.397
6 Se 0.734 0.468 0.250
7 Se 0.663 0.326 0.603
8 Se 0.046 0.091 0.381
9 Se 0.663 0.326 0.897
10 Se 0.954 0.909 0.619
11 Nb 0.822 0.643 0.466
12 Nb 0.822 0.643 0.034
13 Nb 0.178 0.357 0.966
14 Nb 0.178 0.357 0.534
15 Fe 0.809 0.617 0.750
16 Fe 0.191 0.383 0.250

Total magnetic moment   0.025 μB per atom
Raw formation energy   -0.44 eV/atom
Crystal system   orthorhombic



Entry 5:
Here is a geometry-optimized TaNb2FeSe10 structure from Alexandria. Energies are from GGA-PBE.

a b c (Å): 3.534 10.033 10.140
angles (deg): 68.80 90.00 90.00
Atoms (fractional coordinates):
1 Se 0.000 0.820 0.494
2 Se 0.500 0.180 0.496
3 Se 0.500 0.361 0.173
4 Se 0.000 0.659 0.847
5 Se 0.500 0.084 0.746
6 Se 0.000 0.268 0.906
7 Se 0.000 0.511 0.355
8 Se 0.500 0.713 0.095
9 Se 0.000 0.913 0.244
10 Se 0.500 0.491 0.632
11 Ta 0.500 0.462 0.916
12 Fe 0.000 0.540 0.103
13 Nb 0.500 0.704 0.367
14 Nb 0.000 0.295 0.625

Total magnetic moment   0.000 μB per atom
Raw formation energy   -0.63 eV/atom
Crystal system   monoclinic



Entry 6:
Here is a geometry-optimized NbFeSi2 structure from Alexandria. Energies are from GGA-PBE.

a b c (Å): 4.261 4.261 4.261
angles (deg): 60.00 60.00 60.00
Atoms (fractional coordinates):
1 Fe 0.000 0.000 0.000
2 Si 0.750 0.750 0.750
3 Si 0.250 0.250 0.250
4 Nb 0.500 0.500 0.500

Total magnetic moment   0.482 μB per atom
Raw formation energy   -0.09 eV/atom
Crystal system   cubic